A plane-wave DFT calculation with PBE+U was carried out for an optimized crystal structure of RbNiAuF6.

The total energy comes out at -3.785 eV per atom.

It has space group P1 (No. 1), with a = 5.561 Å, b = 5.571 Å, c = 6.065 Å, α = 91.32°, β = 91.43° and γ = 115.44°. The asymmetric unit holds Rb at (0.000, 0.000, 0.000), Ni at (0.325, 0.676, 0.501), Au at (0.667, 0.333, 0.500), F at (0.073, 0.654, 0.274), F at (0.349, 0.927, 0.729), F at (0.361, 0.348, 0.334), F at (0.635, 0.003, 0.340), F at (0.653, 0.638, 0.667) and F at (0.999, 0.365, 0.660).